[1]
Material: TbTeAsO
Method: DFT, PBE-GGA
State: relaxed Values from VASP.

The structure in Quantum ESPRESSO input format:
```
&SYSTEM
  ibrav = 0, nat = 8, ntyp = 4
/
ATOMIC_SPECIES
As 74.92 As.upf
O 16.00 O.upf
Tb 158.93 Tb.upf
Te 127.60 Te.upf
CELL_PARAMETERS angstrom
-2.085 -0.439 -3.067
5.859 0.086 -3.997
0.611 -7.961 0.725
ATOMIC_POSITIONS angstrom
As 2.695 -2.391 -1.490
As 3.842 -6.359 -1.702
O 4.507 -3.502 -4.837
O 0.088 -7.551 -1.252
Tb 4.917 -3.771 -2.803
Tb 1.837 -7.801 -0.132
Te 2.716 -0.522 -4.046
Te 1.419 -4.526 -2.590
```

Output
The total energy is -5.649 eV per atom.



[2]
Material: LiMg2Ir
Method: DFT, PBE-GGA
State: relaxed Values from VASP.

The structure in Quantum ESPRESSO input format:
```
&SYSTEM
  ibrav = 0, nat = 4, ntyp = 3
/
ATOMIC_SPECIES
Ir 192.22 Ir.upf
Li 6.94 Li.upf
Mg 24.30 Mg.upf
CELL_PARAMETERS angstrom
-0.335 3.599 -2.688
-3.816 1.195 2.075
1.652 1.695 2.063
ATOMIC_POSITIONS angstrom
Ir -2.075 2.397 -0.307
Li 0.000 0.000 0.000
Mg 0.659 2.647 -0.313
Mg -1.082 1.445 2.069
```

Output
The total energy is -3.742 eV per atom.



[3]
Material: NbSiOs2
Method: DFT, PBE-GGA
State: relaxed Values from VASP.

The structure in Quantum ESPRESSO input format:
```
&SYSTEM
  ibrav = 0, nat = 4, ntyp = 3
/
ATOMIC_SPECIES
Nb 92.91 Nb.upf
Os 190.23 Os.upf
Si 28.09 Si.upf
CELL_PARAMETERS angstrom
-3.295 -2.512 -1.453
-2.630 -2.042 2.862
-4.156 1.327 0.495
ATOMIC_POSITIONS angstrom
Nb -2.520 -0.807 0.476
Os 0.000 0.000 0.000
Os -7.561 -2.420 1.428
Si -5.041 -1.613 0.952
```

Output
The total energy is -9.327 eV per atom.



[4]
Material: Nd2GePb
Method: DFT, PBE-GGA
State: relaxed Values from VASP.

The structure in Quantum ESPRESSO input format:
```
&SYSTEM
  ibrav = 0, nat = 4, ntyp = 3
/
ATOMIC_SPECIES
Ge 72.64 Ge.upf
Nd 144.24 Nd.upf
Pb 207.20 Pb.upf
CELL_PARAMETERS angstrom
-1.769 -3.900 -0.384
5.126 -2.566 2.455
2.050 -1.490 5.697
ATOMIC_POSITIONS angstrom
Ge -0.212 -2.330 0.572
Nd 1.689 -3.405 2.731
Nd 4.544 -2.569 5.163
Pb 6.561 -3.709 7.455
```

Output
The total energy is -5.128 eV per atom.



[5]
Material: ZrGa2Os
Method: DFT, PBE-GGA
State: relaxed Values from VASP.

The structure in Quantum ESPRESSO input format:
```
&SYSTEM
  ibrav = 0, nat = 4, ntyp = 3
/
ATOMIC_SPECIES
Ga 69.72 Ga.upf
Os 190.23 Os.upf
Zr 91.22 Zr.upf
CELL_PARAMETERS angstrom
0.000 3.206 3.206
3.206 0.000 3.206
3.206 3.206 0.000
ATOMIC_POSITIONS angstrom
Ga 0.000 0.000 0.000
Ga 4.810 4.810 4.810
Os 3.206 3.206 3.206
Zr 1.603 1.603 1.603
```

Output
The total energy is -6.628 eV per atom.



[6]
Material: Pr3In5
Method: DFT, PBE-GGA
State: relaxed Values from VASP.

The structure in Quantum ESPRESSO input format:
```
&SYSTEM
  ibrav = 0, nat = 16, ntyp = 2
/
ATOMIC_SPECIES
In 114.82 In.upf
Pr 140.91 Pr.upf
CELL_PARAMETERS angstrom
-4.749 1.728 4.237
-4.837 -4.193 -1.583
3.733 -6.959 7.023
ATOMIC_POSITIONS angstrom
In -4.636 -3.403 -0.123
In -1.088 -1.016 3.547
In -3.861 -3.046 3.010
In -6.594 -2.432 5.071
In -3.138 -6.196 2.696
In -2.715 -3.227 6.981
In 0.741 -6.992 4.606
In -1.992 -6.378 6.667
In -4.765 -8.407 6.129
In -1.217 -6.020 9.800
Pr -2.843 -0.731 0.787
Pr -6.743 -1.734 1.866
Pr -3.827 -0.777 5.240
Pr -0.977 -4.210 4.299
Pr -4.876 -5.213 5.378
Pr -2.026 -8.647 4.436
```

Output
The total energy is -4.026 eV per atom.



[7]
Material: AgAsPb
Method: DFT, PBE-GGA
State: relaxed Values from VASP.

The structure in Quantum ESPRESSO input format:
```
&SYSTEM
  ibrav = 0, nat = 6, ntyp = 3
/
ATOMIC_SPECIES
Ag 107.87 Ag.upf
As 74.92 As.upf
Pb 207.20 Pb.upf
CELL_PARAMETERS angstrom
5.098 0.000 0.000
-2.549 4.415 0.000
0.000 0.000 6.212
ATOMIC_POSITIONS angstrom
Ag 0.000 0.000 0.000
Ag 0.000 0.000 3.106
As 2.549 1.472 1.553
As 0.000 2.943 4.659
Pb 0.000 2.943 1.553
Pb 2.549 1.472 4.659
```

Output
The total energy is -3.527 eV per atom.



[8]
Material: ZnInFeW
Method: DFT, PBE-GGA
State: relaxed Values from VASP.

The structure in Quantum ESPRESSO input format:
```
&SYSTEM
  ibrav = 0, nat = 4, ntyp = 4
/
ATOMIC_SPECIES
Fe 55.84 Fe.upf
In 114.82 In.upf
W 183.84 W.upf
Zn 65.41 Zn.upf
CELL_PARAMETERS angstrom
3.824 -0.230 2.320
-0.106 -0.568 4.441
1.301 -3.893 1.791
ATOMIC_POSITIONS angstrom
Fe 3.764 -3.519 6.415
In 0.000 0.000 0.000
W 1.255 -1.173 2.138
Zn 2.510 -2.346 4.277
```

Output
The total energy is -5.659 eV per atom.



[9]
Material: BeNbAg
Method: DFT, PBE-GGA
State: relaxed Values from VASP.

The structure in Quantum ESPRESSO input format:
```
&SYSTEM
  ibrav = 0, nat = 3, ntyp = 3
/
ATOMIC_SPECIES
Ag 107.87 Ag.upf
Be 9.01 Be.upf
Nb 92.91 Nb.upf
CELL_PARAMETERS angstrom
-0.644 2.849 3.103
-3.695 2.111 0.222
-2.756 -0.852 3.137
ATOMIC_POSITIONS angstrom
Ag -1.774 1.027 1.615
Be -5.321 3.080 4.846
Nb 0.000 0.000 0.000
```

Output
The total energy is -4.489 eV per atom.



[10]
Material: PmMgS2
Method: DFT, PBE-GGA
State: relaxed Values from VASP.

The structure in Quantum ESPRESSO input format:
```
&SYSTEM
  ibrav = 0, nat = 4, ntyp = 3
/
ATOMIC_SPECIES
Mg 24.30 Mg.upf
Pm 145.00 Pm.upf
S 32.06 S.upf
CELL_PARAMETERS angstrom
-0.725 3.281 -2.036
-3.375 0.468 1.957
2.673 3.004 3.891
ATOMIC_POSITIONS angstrom
Mg 0.000 0.000 0.000
Pm -0.714 3.377 1.906
S -2.050 1.875 -0.040
S 1.336 1.502 1.946
```

Output
The total energy is -5.206 eV per atom.



[11]
Material: TbBeOs
Method: DFT, PBE-GGA
State: relaxed Values from VASP.

The structure in Quantum ESPRESSO input format:
```
&SYSTEM
  ibrav = 0, nat = 3, ntyp = 3
/
ATOMIC_SPECIES
Be 9.01 Be.upf
Os 190.23 Os.upf
Tb 158.93 Tb.upf
CELL_PARAMETERS angstrom
0.458 -2.014 3.670
-0.854 1.988 3.614
-3.394 -1.081 2.247
ATOMIC_POSITIONS angstrom
Be 0.000 0.000 0.000
Os -0.948 -0.277 2.383
Tb -2.843 -0.831 7.148
```

Output
The total energy is -6.334 eV per atom.



[12]
Material: DyBeCd
Method: DFT, PBE-GGA
State: relaxed Values from VASP.

The structure in Quantum ESPRESSO input format:
```
&SYSTEM
  ibrav = 0, nat = 3, ntyp = 3
/
ATOMIC_SPECIES
Be 9.01 Be.upf
Cd 112.41 Cd.upf
Dy 162.50 Dy.upf
CELL_PARAMETERS angstrom
-3.079 1.706 2.785
-4.152 0.836 -1.486
-3.432 -2.543 1.380
ATOMIC_POSITIONS angstrom
Be 0.000 0.000 0.000
Cd -2.666 0.000 0.670
Dy -7.998 -0.001 2.009
```

Output
The total energy is -3.002 eV per atom.